MnTlF3 after structural relaxation, computed with GGA+U.

The value obtained for the calculated volume is 19.71 A^3/atom. Its density of states at the Fermi level is 0.0 states/eV/cell. The calculation puts the total DFT energy (no corrections) at -5.20 eV per atom.

It has space group R-3c (No. 167, hexagonal axes), with a = 6.8239 Å, b = 6.8239 Å, c = 14.6627 Å, α = 90.00°, β = 90.00° and γ = 120.00°. Symmetry generates all atoms from Mn at (0.0000, 0.0000, 0.2500), Tl at (0.0000, 0.0000, 0.0000) and F at (0.0000, 0.2884, 0.2500).